Record 1
Crystalline RbNdZnO3 at its relaxed geometry. Source: OQMD via LeMat-Bulk, functional PBE.

Results
Space-group type   Cmcm
Calculated total energy   -34.6 eV per formula unit

Unit cell a=6.477 b=6.477 c=9.458 alpha=90.00 beta=90.00 gamma=32.52
Fractional positions:
1 O 0.386 0.386 0.066
2 Rb 0.729 0.729 0.250
3 O 0.614 0.614 0.566
4 O 0.614 0.614 0.934
5 Zn 0.451 0.451 0.250
6 O 0.042 0.042 0.250
7 O 0.386 0.386 0.434
8 O 0.958 0.958 0.750
9 Nd 0.000 0.000 0.000
10 Zn 0.549 0.549 0.750
11 Rb 0.271 0.271 0.750
12 Nd 0.000 0.000 0.500

=====

Record 2
Crystalline Nd2Re2O5 at its relaxed geometry. Source: OQMD via LeMat-Bulk, functional PBE.

Results
Space-group type   P4/mmm
Excess energy over the best structure of this formula in the dataset   0.0 meV/atom

Unit cell a=6.850 b=4.041 c=4.041 alpha=90.00 beta=90.00 gamma=90.00
Fractional positions:
1 Re 0.174 0.500 0.500
2 O 0.238 0.000 0.500
3 O 0.762 0.500 0.000
4 O 0.500 0.500 0.500
5 O 0.762 0.000 0.500
6 Nd 0.000 0.000 0.000
7 Re 0.826 0.500 0.500
8 Nd 0.500 0.000 0.000
9 O 0.238 0.500 0.000

=====

Record 3
Crystalline Nd2Re2O5 at its relaxed geometry. Source: OQMD via LeMat-Bulk, functional PBE.

Results
Space-group type   P4/mmm
Excess energy over the best structure of this formula in the dataset   581.0 meV/atom

Unit cell a=9.848 b=3.552 c=3.552 alpha=90.00 beta=90.00 gamma=90.00
Fractional positions:
1 Nd 0.734 0.500 0.500
2 O 0.885 0.500 0.000
3 O 0.115 0.000 0.500
4 O 0.115 0.500 0.000
5 Re 0.500 0.000 0.000
6 O 0.500 0.500 0.500
7 O 0.885 0.000 0.500
8 Nd 0.266 0.500 0.500
9 Re 0.000 0.000 0.000

=====

Record 4
Crystalline NdReO5 at its relaxed geometry. Source: OQMD via LeMat-Bulk, functional PBE.

Results
Space-group type   C2/c
Calculated total energy   -57.3 eV per formula unit

Unit cell a=5.596 b=5.596 c=7.593 alpha=109.83 beta=109.83 gamma=70.95
Fractional positions:
1 O 0.065 0.935 0.750
2 Nd 0.554 0.446 0.250
3 O 0.276 0.704 0.036
4 O 0.794 0.765 0.387
5 O 0.206 0.235 0.613
6 O 0.765 0.794 0.887
7 O 0.724 0.296 0.964
8 O 0.296 0.724 0.464
9 O 0.704 0.276 0.536
10 Re 0.000 0.000 0.000
11 Nd 0.446 0.554 0.750
12 O 0.935 0.065 0.250
13 O 0.235 0.206 0.113
14 Re 0.000 0.000 0.500

=====

Record 5
Crystalline NdRe2O4 at its relaxed geometry. Source: OQMD via LeMat-Bulk, functional PBE.

Results
Space-group type   Fd-3m
Calculated total energy   -57.3 eV per formula unit

Unit cell a=6.459 b=6.459 c=6.459 alpha=119.99 beta=90.02 gamma=119.99
Fractional positions:
1 O 0.604 0.208 0.812
2 O 0.146 0.708 0.854
3 Re 0.875 0.250 0.625
4 O 0.604 0.792 0.396
5 Re 0.375 0.750 0.125
6 O 0.188 0.792 0.396
7 O 0.562 0.708 0.854
8 Nd 0.000 0.000 0.000
9 Nd 0.750 0.500 0.250
10 Re 0.375 0.750 0.625
11 O 0.146 0.292 0.438
12 O 0.146 0.292 0.854
13 Re 0.375 0.250 0.625
14 O 0.604 0.208 0.396

=====

Record 6
Crystalline Nd6ReO12 at its relaxed geometry. Source: OQMD via LeMat-Bulk, functional PBE.

Results
Space-group type   R-3
Calculated total energy   -157.7 eV per formula unit

Unit cell a=6.675 b=6.675 c=6.675 alpha=98.56 beta=98.56 gamma=98.56
Fractional positions:
1 Nd 0.389 0.692 0.856
2 O 0.822 0.560 0.409
3 Nd 0.611 0.308 0.144
4 O 0.178 0.440 0.591
5 O 0.968 0.289 0.068
6 Nd 0.856 0.389 0.692
7 O 0.440 0.591 0.178
8 O 0.591 0.178 0.440
9 O 0.068 0.968 0.289
10 Nd 0.692 0.856 0.389
11 O 0.560 0.409 0.822
12 O 0.409 0.822 0.560
13 Nd 0.308 0.144 0.611
14 O 0.932 0.032 0.711
15 Re 0.000 0.000 0.000
16 O 0.032 0.711 0.932
17 Nd 0.144 0.611 0.308
18 O 0.711 0.932 0.032
19 O 0.289 0.068 0.968

=====

Record 7
Crystalline Nd2YReO6 at its relaxed geometry. Source: OQMD via LeMat-Bulk, functional PBE.

Results
Space-group type   P2_1/c
Calculated total energy   -84.9 eV per formula unit

Unit cell a=5.586 b=6.102 c=9.305 alpha=90.00 beta=121.83 gamma=90.00
Fractional positions:
1 Re 0.500 0.500 0.500
2 O 0.739 0.798 0.942
3 Y 0.000 0.500 0.000
4 O 0.739 0.702 0.442
5 O 0.869 0.440 0.729
6 Re 0.500 0.000 0.000
7 Y 0.000 0.000 0.500
8 Nd 0.714 0.069 0.750
9 O 0.131 0.560 0.271
10 O 0.131 0.940 0.771
11 Nd 0.714 0.431 0.250
12 O 0.381 0.801 0.559
13 O 0.619 0.301 0.941
14 O 0.619 0.199 0.441
15 O 0.381 0.699 0.059
16 O 0.261 0.298 0.558
17 O 0.261 0.202 0.058
18 Nd 0.286 0.569 0.750
19 Nd 0.286 0.931 0.250
20 O 0.869 0.060 0.229

=====

Record 8
Crystalline Nd2SO5 at its relaxed geometry. Source: OQMD via LeMat-Bulk, functional PBE.

Results
Space-group type   C2/m
Calculated total energy   -54.2 eV per formula unit

Unit cell a=7.148 b=7.148 c=7.130 alpha=118.02 beta=118.02 gamma=46.61
Fractional positions:
1 Nd 0.528 0.528 0.281
2 O 0.643 0.072 0.000
3 O 0.703 0.703 0.697
4 S 0.833 0.833 0.857
5 O 0.297 0.297 0.303
6 O 0.928 0.357 0.000
7 Nd 0.834 0.834 0.317
8 S 0.167 0.167 0.143
9 O 0.072 0.643 0.000
10 Nd 0.166 0.166 0.683
11 O 0.357 0.928 0.000
12 Nd 0.472 0.472 0.719
13 O 0.762 0.238 0.500
14 O 0.094 0.094 0.246
15 O 0.906 0.906 0.754
16 O 0.238 0.762 0.500

=====

Record 9
Crystalline Nd2S3O12 at its relaxed geometry. Source: OQMD via LeMat-Bulk, functional PBE.

Results
Space-group type   C2/c
Calculated total energy   -117.4 eV per formula unit

Unit cell a=6.648 b=6.836 c=11.152 alpha=106.63 beta=107.34 gamma=90.00
Fractional positions:
1 O 0.841 0.799 0.300
2 S 0.636 0.823 0.634
3 O 0.223 0.602 0.045
4 O 0.541 0.701 0.700
5 Nd 0.777 0.129 0.262
6 S 0.364 0.177 0.366
7 O 0.486 0.994 0.360
8 O 0.850 0.385 0.709
9 O 0.822 0.102 0.045
10 O 0.141 0.115 0.291
11 Nd 0.223 0.871 0.738
12 O 0.159 0.201 0.700
13 O 0.874 0.494 0.360
14 O 0.609 0.701 0.498
15 O 0.859 0.885 0.709
16 O 0.150 0.615 0.291
17 O 0.512 0.855 0.114
18 O 0.126 0.506 0.640
19 Nd 0.515 0.371 0.738
20 O 0.111 0.799 0.502
21 O 0.488 0.145 0.886
22 O 0.602 0.355 0.114
23 S 0.680 0.250 0.000
24 O 0.398 0.645 0.886
25 S 0.002 0.677 0.366
26 O 0.889 0.201 0.498
27 S 0.998 0.323 0.634
28 Nd 0.485 0.629 0.262
29 S 0.320 0.750 0.000
30 O 0.459 0.299 0.300
31 O 0.178 0.898 0.955
32 O 0.777 0.398 0.955
33 O 0.514 0.006 0.640
34 O 0.391 0.299 0.502

=====

Record 10
Crystalline Nd2SO2 at its relaxed geometry. Source: OQMD via LeMat-Bulk, functional PBE.

Results
Space-group type   Cmmm
Calculated total energy   -34.9 eV per formula unit

Unit cell a=8.490 b=8.490 c=3.818 alpha=90.00 beta=90.00 gamma=151.10
Fractional positions:
1 Nd 0.383 0.617 0.836
2 O 0.676 0.324 0.336
3 Nd 0.617 0.383 0.836
4 S 0.000 0.000 0.836
5 O 0.324 0.676 0.336